Record 1
A geometry-optimized TbScP2 structure, computed with PBE.

- Energy above the lowest structure with this stoichiometry: 0.148 eV per atom
- Crystal system: trigonal
- Space group: R3m, No. 160
- Formation energy: -133.67 kJ/mol of atoms

```
TbScP2
1.0
3.8596 0.0000 0.0000
1.9298 3.3425 0.0000
1.9298 1.1142 6.5954
Tb Sc P
1 1 2
Direct
0.4975 0.4975 0.5076
0.6692 0.6692 0.9925
0.0769 0.0769 0.7693
0.2565 0.2565 0.2305
```

Record 2
A geometry-optimized Pa2FeSe structure, computed with PBE.

- Energy above the lowest structure with this stoichiometry: 0.627 eV per atom
- Crystal system: trigonal
- Space group: R-3m, No. 166
- E_form (uncorrected): -0.06 eV per atom

```
Pa2FeSe
1.0
-1.8875 2.6975 -0.2708
-2.3499 0.6035 2.2419
4.5909 5.8057 5.6828
Pa Fe Se
2 1 1
Direct
0.0852 0.0852 0.7443
0.9148 0.9148 0.2557
0.0000 0.0000 0.0000
0.5000 0.5000 0.5000
```

Record 3
A geometry-optimized LiPrGaIr structure, computed with PBE.

- Energy above the lowest structure with this stoichiometry: 0.000 eV per atom
- Crystal system: monoclinic
- Space group: Cm, No. 8
- Formation energy: -52.16 kJ/mol of atoms

```
LiPrGaIr
1.0
-0.4222 4.0767 1.6791
0.5421 -3.4598 2.6948
4.5193 1.5255 -2.5676
Li Pr Ga Ir
1 1 1 1
Direct
0.8265 0.6531 0.1216
0.6258 0.2515 0.5203
0.0999 0.1999 0.9421
0.4141 0.8281 0.8833
```

Record 4
A geometry-optimized Er2ThZn2Ga2 structure, computed with PBE.

- Crystal system: trigonal
- Space group: R-3m, No. 166
- Formation energy: -34.61 kJ/mol of atoms

```
Er2ThZn2Ga2
1.0
-1.5562 3.3390 2.4014
-0.1278 -0.3169 4.3841
8.1772 4.7046 2.7839
Er Th Zn Ga
2 1 2 2
Direct
0.1283 0.1283 0.6152
0.8717 0.8717 0.3848
0.0000 0.0000 0.0000
0.5994 0.5994 0.2018
0.4006 0.4006 0.7982
0.7425 0.7425 0.7724
0.2575 0.2575 0.2276
```

Record 5
A geometry-optimized PuPaRu3 structure, computed with PBE.

- Crystal system: tetragonal
- Space group: I4mm, No. 107
- Formation energy: -13.74 kJ/mol of atoms

```
PuPaRu3
1.0
4.2122 0.0000 0.0000
0.0000 4.2122 0.0000
-2.1061 -2.1061 5.6491
Pu Pa Ru
1 1 3
Direct
0.9684 0.9684 0.9368
0.6367 0.6367 0.2733
0.2795 0.7795 0.5590
0.7795 0.2795 0.5590
0.4261 0.4261 0.8523
```

Record 6
A geometry-optimized Ac8Sn3Ir structure, computed with PBE.

- Crystal system: tetragonal
- Space group: I4/mmm, No. 139
- Formation energy: -37.66 kJ/mol of atoms

```
Ac8Sn3Ir
1.0
7.8233 0.0000 0.0000
0.0000 7.8233 0.0000
-3.9116 -3.9116 7.8303
Ac Sn Ir
8 3 1
Direct
0.3549 0.3549 0.2361
0.3549 0.8812 0.2361
0.1188 0.6451 0.7639
0.1188 0.1188 0.7639
0.8812 0.8812 0.2361
0.8812 0.3549 0.2361
0.6451 0.1188 0.7639
0.6451 0.6451 0.7639
0.7500 0.2500 0.5000
0.5000 0.5000 0.0000
0.2500 0.7500 0.5000
0.0000 0.0000 0.0000
```

no.,Fermi-level density of states (states/eV/atom)
1,0.09
2,1.21
3,0.48
4,0.53
5,2.32
6,1.05